Density functional theory data (GGA-PBE) for a geometry-optimized ZnTcMoW structure.

a b c (Å): 4.4141 4.4141 4.4141
angles (deg): 60.00 60.00 60.00
Positions (direct):
Tc 0.7500 0.7500 0.7500
Mo 0.2500 0.2500 0.2500
Zn 0.0000 0.0000 0.0000
W 0.5000 0.5000 0.5000

For the mass density, the calculation gives 12.1 g cm⁻³. The formation energy is 0.17 eV/atom. For the total energy, the calculation gives -8.690 eV per atom.

=====

Density functional theory data (GGA-PBE) for a geometry-optimized YTc2Mo structure.

a b c (Å): 4.4671 2.9350 5.4441
angles (deg): 78.42 90.00 90.00
Positions (direct):
Tc 0.0000 0.9871 0.9954
Tc 0.5000 0.2510 0.2295
Y 0.0000 0.5009 0.4942
Mo 0.5000 0.7610 0.7810

For the mass density, the calculation gives 9.0 g cm⁻³. The formation energy is 0.29 eV/atom. For the total energy, the calculation gives -9.219 eV per atom.

=====

Density functional theory data (GGA-PBE) for a geometry-optimized Y2TcMo structure.

a b c (Å): 3.5486 4.9973 4.6420
angles (deg): 90.00 90.00 90.00
Positions (direct):
Tc 0.0000 0.5000 0.5000
Y 0.0000 0.0000 0.0000
Y 0.5000 0.5000 0.0000
Mo 0.5000 0.0000 0.5000

For the mass density, the calculation gives 7.5 g cm⁻³. The formation energy is 0.48 eV/atom. For the total energy, the calculation gives -8.054 eV per atom.

=====

Density functional theory data (GGA-PBE) for a geometry-optimized YTcMo structure.

a b c (Å): 4.3107 4.7988 6.1114
angles (deg): 90.00 110.65 90.00
Positions (direct):
Tc 0.6337 0.2500 0.2674
Tc 0.3663 0.7500 0.7326
Mo 0.7546 0.7500 0.5091
Mo 0.2454 0.2500 0.4909
Y 0.0790 0.7500 0.1579
Y 0.9210 0.2500 0.8421

For the mass density, the calculation gives 7.9 g cm⁻³. The formation energy is 0.16 eV/atom. For the total energy, the calculation gives -9.060 eV per atom.

=====

Density functional theory data (GGA-PBE) for a geometry-optimized Y2TcMo structure.

a b c (Å): 5.9568 5.9568 5.0539
angles (deg): 64.92 64.92 33.45
Positions (direct):
Tc 0.2165 0.2165 0.2833
Y 0.7604 0.7604 0.7394
Y 0.9806 0.9806 0.0196
Mo 0.5426 0.5426 0.4577

For the mass density, the calculation gives 7.0 g cm⁻³. The formation energy is 0.09 eV/atom. For the total energy, the calculation gives -8.445 eV per atom.

=====

Density functional theory data (GGA-PBE) for a geometry-optimized YTc2Mo structure.

a b c (Å): 3.1784 3.1784 7.0843
angles (deg): 90.00 90.00 90.00
Positions (direct):
Mo 0.5000 0.5000 0.7937
Y 0.0000 0.0000 0.4964
Tc 0.5000 0.5000 0.2089
Tc 0.0000 0.0000 0.0010

For the mass density, the calculation gives 8.8 g cm⁻³. The formation energy is 0.24 eV/atom. For the total energy, the calculation gives -9.267 eV per atom.